1.
Compound: TbPr5Sm
Source: Alexandria via LeMat-Bulk
Functional: PBE-GGA
Structure: relaxed

Computed properties:
The size of the total moment is 0.0 μB per formula unit. The calculation puts the calculated total energy at -3.81 eV per atom. Its density of states at the Fermi level is 1.98 states/eV per atom. The calculated volume is 322.8 Å³/cell. Its space group is C2/m.

```
data_TbPr5Sm
_chemical_formula_sum 'Tb1 Pr5 Sm1'
_cell_length_a 8.107
_cell_length_b 8.107
_cell_length_c 5.965
_cell_angle_alpha 111.51
_cell_angle_beta 111.51
_cell_angle_gamma 66.31
_space_group_name_H-M_alt 'P 1'
_space_group_IT_number 1
loop_
_space_group_symop_operation_xyz
'x,y,z'
loop_
_atom_site_label
_atom_site_type_symbol
_atom_site_fract_x
_atom_site_fract_y
_atom_site_fract_z
_atom_site_occupancy
Tb1 Tb 0.000 0.000 0.000 1
Pr1 Pr 0.177 0.823 0.500 1
Pr2 Pr 0.251 0.251 0.251 1
Pr3 Pr 0.500 0.500 0.000 1
Pr4 Pr 0.749 0.749 0.749 1
Pr5 Pr 0.823 0.177 0.500 1
Sm1 Sm 0.500 0.500 0.500 1
```



2.
Compound: TbPr10Sm4
Source: Alexandria via LeMat-Bulk
Functional: PBE-GGA
Structure: relaxed

Computed properties:
The size of the total moment is 0.0 μB per formula unit. The calculation puts the calculated total energy at -4.07 eV per atom. Its density of states at the Fermi level is 1.59 states/eV per atom. The calculated volume is 619.2 Å³/cell. Its space group is I4/m.

```
data_TbPr10Sm4
_chemical_formula_sum 'Tb1 Pr10 Sm4'
_cell_length_a 9.693
_cell_length_b 9.693
_cell_length_c 9.693
_cell_angle_alpha 99.57
_cell_angle_beta 99.57
_cell_angle_gamma 131.87
_space_group_name_H-M_alt 'P 1'
_space_group_IT_number 1
loop_
_space_group_symop_operation_xyz
'x,y,z'
loop_
_atom_site_label
_atom_site_type_symbol
_atom_site_fract_x
_atom_site_fract_y
_atom_site_fract_z
_atom_site_occupancy
Tb1 Tb 0.000 0.000 0.000 1
Pr1 Pr 0.049 0.348 0.900 1
Pr2 Pr 0.150 0.049 0.701 1
Pr3 Pr 0.250 0.750 0.500 1
Pr4 Pr 0.348 0.449 0.299 1
Pr5 Pr 0.449 0.150 0.100 1
Pr6 Pr 0.551 0.850 0.900 1
Pr7 Pr 0.652 0.551 0.701 1
Pr8 Pr 0.750 0.250 0.500 1
Pr9 Pr 0.850 0.951 0.299 1
Pr10 Pr 0.951 0.652 0.100 1
Sm1 Sm 0.201 0.400 0.600 1
Sm2 Sm 0.400 0.799 0.199 1
Sm3 Sm 0.600 0.201 0.801 1
Sm4 Sm 0.799 0.600 0.400 1
```



3.
Compound: Tb3Pr5Sm4
Source: Alexandria via LeMat-Bulk
Functional: PBE-GGA
Structure: relaxed

Computed properties:
The size of the total moment is 0.3 μB per formula unit. The calculation puts the calculated total energy at -4.52 eV per atom. Its density of states at the Fermi level is 1.34 states/eV per atom. The calculated volume is 419.2 Å³/cell. Its space group is C2/m.

```
data_Tb3Pr5Sm4
_chemical_formula_sum 'Tb3 Pr5 Sm4'
_cell_length_a 6.415
_cell_length_b 6.415
_cell_length_c 13.508
_cell_angle_alpha 103.98
_cell_angle_beta 103.98
_cell_angle_gamma 51.52
_space_group_name_H-M_alt 'P 1'
_space_group_IT_number 1
loop_
_space_group_symop_operation_xyz
'x,y,z'
loop_
_atom_site_label
_atom_site_type_symbol
_atom_site_fract_x
_atom_site_fract_y
_atom_site_fract_z
_atom_site_occupancy
Tb1 Tb 0.000 0.000 0.000 1
Tb2 Tb 0.455 0.455 0.217 1
Tb3 Tb 0.545 0.545 0.783 1
Pr1 Pr 0.169 0.169 0.265 1
Pr2 Pr 0.362 0.362 0.535 1
Pr3 Pr 0.500 0.500 0.000 1
Pr4 Pr 0.638 0.638 0.465 1
Pr5 Pr 0.831 0.831 0.735 1
Sm1 Sm 0.091 0.091 0.630 1
Sm2 Sm 0.231 0.231 0.895 1
Sm3 Sm 0.769 0.769 0.105 1
Sm4 Sm 0.909 0.909 0.370 1
```



4.
Compound: Tb3Pr4Sm4
Source: Alexandria via LeMat-Bulk
Functional: PBE-GGA
Structure: relaxed

Computed properties:
The size of the total moment is 0.0 μB per formula unit. The calculation puts the calculated total energy at -4.57 eV per atom. Its density of states at the Fermi level is 1.70 states/eV per atom. The calculated volume is 381.7 Å³/cell. Its space group is Amm2.

```
data_Tb3Pr4Sm4
_chemical_formula_sum 'Tb3 Pr4 Sm4'
_cell_length_a 10.824
_cell_length_b 6.752
_cell_length_c 6.752
_cell_angle_alpha 50.69
_cell_angle_beta 90.00
_cell_angle_gamma 90.00
_space_group_name_H-M_alt 'P 1'
_space_group_IT_number 1
loop_
_space_group_symop_operation_xyz
'x,y,z'
loop_
_atom_site_label
_atom_site_type_symbol
_atom_site_fract_x
_atom_site_fract_y
_atom_site_fract_z
_atom_site_occupancy
Tb1 Tb 0.000 0.000 0.000 1
Tb2 Tb 0.291 0.155 0.155 1
Tb3 Tb 0.709 0.155 0.155 1
Pr1 Pr 0.000 0.705 0.705 1
Pr2 Pr 0.205 0.501 0.501 1
Pr3 Pr 0.500 0.633 0.633 1
Pr4 Pr 0.795 0.501 0.501 1
Sm1 Sm 0.000 0.295 0.295 1
Sm2 Sm 0.301 0.850 0.850 1
Sm3 Sm 0.500 0.360 0.360 1
Sm4 Sm 0.699 0.850 0.850 1
```



5.
Compound: Tb6Pr12Sm
Source: Alexandria via LeMat-Bulk
Functional: PBE-GGA
Structure: relaxed

Computed properties:
The size of the total moment is 0.0 μB per formula unit. The calculation puts the calculated total energy at -4.60 eV per atom. Its density of states at the Fermi level is 1.64 states/eV per atom. The calculated volume is 672.3 Å³/cell. Its space group is R-3.

```
data_Tb6Pr12Sm
_chemical_formula_sum 'Tb6 Pr12 Sm1'
_cell_length_a 8.762
_cell_length_b 8.762
_cell_length_c 8.762
_cell_angle_alpha 88.88
_cell_angle_beta 88.88
_cell_angle_gamma 88.88
_space_group_name_H-M_alt 'P 1'
_space_group_IT_number 1
loop_
_space_group_symop_operation_xyz
'x,y,z'
loop_
_atom_site_label
_atom_site_type_symbol
_atom_site_fract_x
_atom_site_fract_y
_atom_site_fract_z
_atom_site_occupancy
Tb1 Tb 0.202 0.759 0.599 1
Tb2 Tb 0.241 0.401 0.798 1
Tb3 Tb 0.401 0.798 0.241 1
Tb4 Tb 0.599 0.202 0.759 1
Tb5 Tb 0.759 0.599 0.202 1
Tb6 Tb 0.798 0.241 0.401 1
Pr1 Pr 0.036 0.933 0.282 1
Pr2 Pr 0.067 0.718 0.964 1
Pr3 Pr 0.137 0.482 0.305 1
Pr4 Pr 0.282 0.036 0.933 1
Pr5 Pr 0.305 0.137 0.482 1
Pr6 Pr 0.482 0.305 0.137 1
Pr7 Pr 0.518 0.695 0.863 1
Pr8 Pr 0.695 0.863 0.518 1
Pr9 Pr 0.718 0.964 0.067 1
Pr10 Pr 0.863 0.518 0.695 1
Pr11 Pr 0.933 0.282 0.036 1
Pr12 Pr 0.964 0.067 0.718 1
Sm1 Sm 0.500 0.500 0.500 1
```



6.
Compound: Tb12Pr3Sm
Source: Alexandria via LeMat-Bulk
Functional: PBE-GGA
Structure: relaxed

Computed properties:
The size of the total moment is 0.0 μB per formula unit. The calculation puts the calculated total energy at -4.65 eV per atom. Its density of states at the Fermi level is 1.41 states/eV per atom. The calculated volume is 524.6 Å³/cell. Its space group is P4/mmm.

```
data_Tb12Pr3Sm
_chemical_formula_sum 'Tb12 Pr3 Sm1'
_cell_length_a 5.081
_cell_length_b 5.081
_cell_length_c 20.320
_cell_angle_alpha 90.00
_cell_angle_beta 90.00
_cell_angle_gamma 90.00
_space_group_name_H-M_alt 'P 1'
_space_group_IT_number 1
loop_
_space_group_symop_operation_xyz
'x,y,z'
loop_
_atom_site_label
_atom_site_type_symbol
_atom_site_fract_x
_atom_site_fract_y
_atom_site_fract_z
_atom_site_occupancy
Tb1 Tb 0.000 0.000 0.000 1
Tb2 Tb 0.000 0.000 0.249 1
Tb3 Tb 0.000 0.000 0.500 1
Tb4 Tb 0.000 0.000 0.751 1
Tb5 Tb 0.000 0.500 0.124 1
Tb6 Tb 0.000 0.500 0.375 1
Tb7 Tb 0.000 0.500 0.625 1
Tb8 Tb 0.000 0.500 0.876 1
Tb9 Tb 0.500 0.000 0.124 1
Tb10 Tb 0.500 0.000 0.375 1
Tb11 Tb 0.500 0.000 0.625 1
Tb12 Tb 0.500 0.000 0.876 1
Pr1 Pr 0.500 0.500 0.249 1
Pr2 Pr 0.500 0.500 0.500 1
Pr3 Pr 0.500 0.500 0.751 1
Sm1 Sm 0.500 0.500 0.000 1
```



7.
Compound: Tb3PrSm8
Source: Alexandria via LeMat-Bulk
Functional: PBE-GGA
Structure: relaxed

Computed properties:
The size of the total moment is 0.0 μB per formula unit. The calculation puts the calculated total energy at -4.37 eV per atom. Its density of states at the Fermi level is 1.32 states/eV per atom. The calculated volume is 433.5 Å³/cell. Its space group is Immm.

```
data_Tb3PrSm8
_chemical_formula_sum 'Tb3 Pr1 Sm8'
_cell_length_a 8.767
_cell_length_b 8.767
_cell_length_c 8.767
_cell_angle_alpha 136.08
_cell_angle_beta 98.82
_cell_angle_gamma 97.26
_space_group_name_H-M_alt 'P 1'
_space_group_IT_number 1
loop_
_space_group_symop_operation_xyz
'x,y,z'
loop_
_atom_site_label
_atom_site_type_symbol
_atom_site_fract_x
_atom_site_fract_y
_atom_site_fract_z
_atom_site_occupancy
Tb1 Tb 0.000 0.000 0.000 1
Tb2 Tb 0.243 0.743 0.500 1
Tb3 Tb 0.757 0.257 0.500 1
Pr1 Pr 0.500 0.500 0.000 1
Sm1 Sm 0.083 0.249 0.833 1
Sm2 Sm 0.242 0.255 0.497 1
Sm3 Sm 0.242 0.745 0.987 1
Sm4 Sm 0.416 0.249 0.167 1
Sm5 Sm 0.584 0.751 0.833 1
Sm6 Sm 0.758 0.255 0.013 1
Sm7 Sm 0.758 0.745 0.503 1
Sm8 Sm 0.917 0.751 0.167 1
```



8.
Compound: Tb3Pr2Sm5
Source: Alexandria via LeMat-Bulk
Functional: PBE-GGA
Structure: relaxed

Computed properties:
The size of the total moment is 0.0 μB per formula unit. The calculation puts the calculated total energy at -4.52 eV per atom. Its density of states at the Fermi level is 1.81 states/eV per atom. The calculated volume is 689.3 Å³/cell. Its space group is C2/c.

```
data_Tb3Pr2Sm5
_chemical_formula_sum 'Tb6 Pr4 Sm10'
_cell_length_a 9.692
_cell_length_b 9.692
_cell_length_c 9.574
_cell_angle_alpha 108.47
_cell_angle_beta 108.47
_cell_angle_gamma 111.74
_space_group_name_H-M_alt 'P 1'
_space_group_IT_number 1
loop_
_space_group_symop_operation_xyz
'x,y,z'
loop_
_atom_site_label
_atom_site_type_symbol
_atom_site_fract_x
_atom_site_fract_y
_atom_site_fract_z
_atom_site_occupancy
Tb1 Tb 0.023 0.977 0.750 1
Tb2 Tb 0.221 0.463 0.455 1
Tb3 Tb 0.463 0.221 0.955 1
Tb4 Tb 0.537 0.779 0.045 1
Tb5 Tb 0.779 0.537 0.545 1
Tb6 Tb 0.977 0.023 0.250 1
Pr1 Pr 0.016 0.267 0.050 1
Pr2 Pr 0.267 0.016 0.550 1
Pr3 Pr 0.733 0.984 0.450 1
Pr4 Pr 0.984 0.733 0.950 1
Sm1 Sm 0.150 0.388 0.784 1
Sm2 Sm 0.231 0.769 0.750 1
Sm3 Sm 0.273 0.727 0.250 1
Sm4 Sm 0.388 0.150 0.284 1
Sm5 Sm 0.470 0.530 0.250 1
Sm6 Sm 0.530 0.470 0.750 1
Sm7 Sm 0.612 0.850 0.716 1
Sm8 Sm 0.727 0.273 0.750 1
Sm9 Sm 0.769 0.231 0.250 1
Sm10 Sm 0.850 0.612 0.216 1
```



9.
Compound: Tb6Pr16Sm7
Source: Alexandria via LeMat-Bulk
Functional: PBE-GGA
Structure: relaxed

Computed properties:
The size of the total moment is 0.0 μB per formula unit. The calculation puts the calculated total energy at -4.52 eV per atom. Its density of states at the Fermi level is 1.33 states/eV per atom. The calculated volume is 1059.8 Å³/cell. Its space group is Fm-3m.

```
data_Tb6Pr16Sm7
_chemical_formula_sum 'Tb6 Pr16 Sm7'
_cell_length_a 11.444
_cell_length_b 11.444
_cell_length_c 11.444
_cell_angle_alpha 60.00
_cell_angle_beta 60.00
_cell_angle_gamma 60.00
_space_group_name_H-M_alt 'P 1'
_space_group_IT_number 1
loop_
_space_group_symop_operation_xyz
'x,y,z'
loop_
_atom_site_label
_atom_site_type_symbol
_atom_site_fract_x
_atom_site_fract_y
_atom_site_fract_z
_atom_site_occupancy
Tb1 Tb 0.235 0.235 0.765 1
Tb2 Tb 0.235 0.765 0.235 1
Tb3 Tb 0.235 0.765 0.765 1
Tb4 Tb 0.765 0.235 0.235 1
Tb5 Tb 0.765 0.235 0.765 1
Tb6 Tb 0.765 0.765 0.235 1
Pr1 Pr 0.124 0.625 0.625 1
Pr2 Pr 0.150 0.150 0.150 1
Pr3 Pr 0.150 0.150 0.550 1
Pr4 Pr 0.150 0.550 0.150 1
Pr5 Pr 0.375 0.375 0.375 1
Pr6 Pr 0.375 0.375 0.876 1
Pr7 Pr 0.375 0.876 0.375 1
Pr8 Pr 0.450 0.850 0.850 1
Pr9 Pr 0.550 0.150 0.150 1
Pr10 Pr 0.625 0.124 0.625 1
Pr11 Pr 0.625 0.625 0.124 1
Pr12 Pr 0.625 0.625 0.625 1
Pr13 Pr 0.850 0.450 0.850 1
Pr14 Pr 0.850 0.850 0.450 1
Pr15 Pr 0.850 0.850 0.850 1
Pr16 Pr 0.876 0.375 0.375 1
Sm1 Sm 0.000 0.000 0.500 1
Sm2 Sm 0.000 0.500 0.000 1
Sm3 Sm 0.000 0.500 0.500 1
Sm4 Sm 0.500 0.000 0.000 1
Sm5 Sm 0.500 0.000 0.500 1
Sm6 Sm 0.500 0.500 0.000 1
Sm7 Sm 0.500 0.500 0.500 1
```



10.
Compound: Tb2Pr12Sm5
Source: Alexandria via LeMat-Bulk
Functional: PBE-GGA
Structure: relaxed

Computed properties:
The size of the total moment is 0.0 μB per formula unit. The calculation puts the calculated total energy at -4.63 eV per atom. Its density of states at the Fermi level is 1.48 states/eV per atom. The calculated volume is 679.0 Å³/cell. Its space group is C2/m.

```
data_Tb2Pr12Sm5
_chemical_formula_sum 'Tb2 Pr12 Sm5'
_cell_length_a 9.461
_cell_length_b 9.461
_cell_length_c 8.133
_cell_angle_alpha 92.62
_cell_angle_beta 92.62
_cell_angle_gamma 69.08
_space_group_name_H-M_alt 'P 1'
_space_group_IT_number 1
loop_
_space_group_symop_operation_xyz
'x,y,z'
loop_
_atom_site_label
_atom_site_type_symbol
_atom_site_fract_x
_atom_site_fract_y
_atom_site_fract_z
_atom_site_occupancy
Tb1 Tb 0.235 0.765 0.000 1
Tb2 Tb 0.765 0.235 0.000 1
Pr1 Pr 0.053 0.053 0.712 1
Pr2 Pr 0.087 0.539 0.207 1
Pr3 Pr 0.119 0.668 0.613 1
Pr4 Pr 0.332 0.881 0.387 1
Pr5 Pr 0.367 0.367 0.895 1
Pr6 Pr 0.461 0.913 0.793 1
Pr7 Pr 0.539 0.087 0.207 1
Pr8 Pr 0.633 0.633 0.105 1
Pr9 Pr 0.668 0.119 0.613 1
Pr10 Pr 0.881 0.332 0.387 1
Pr11 Pr 0.913 0.461 0.793 1
Pr12 Pr 0.947 0.947 0.288 1
Sm1 Sm 0.156 0.156 0.090 1
Sm2 Sm 0.258 0.258 0.518 1
Sm3 Sm 0.500 0.500 0.500 1
Sm4 Sm 0.742 0.742 0.482 1
Sm5 Sm 0.844 0.844 0.910 1
```



11.
Compound: Tb5Pr3Sm
Source: Alexandria via LeMat-Bulk
Functional: PBE-GGA
Structure: relaxed

Computed properties:
The size of the total moment is 0.0 μB per formula unit. The calculation puts the calculated total energy at -4.19 eV per atom. Its density of states at the Fermi level is 1.44 states/eV per atom. The calculated volume is 678.9 Å³/cell. Its space group is C2/m.

```
data_Tb5Pr3Sm
_chemical_formula_sum 'Tb10 Pr6 Sm2'
_cell_length_a 9.630
_cell_length_b 9.630
_cell_length_c 10.022
_cell_angle_alpha 121.26
_cell_angle_beta 121.26
_cell_angle_gamma 73.05
_space_group_name_H-M_alt 'P 1'
_space_group_IT_number 1
loop_
_space_group_symop_operation_xyz
'x,y,z'
loop_
_atom_site_label
_atom_site_type_symbol
_atom_site_fract_x
_atom_site_fract_y
_atom_site_fract_z
_atom_site_occupancy
Tb1 Tb 0.096 0.595 0.250 1
Tb2 Tb 0.220 0.220 0.224 1
Tb3 Tb 0.244 0.756 0.000 1
Tb4 Tb 0.276 0.276 0.958 1
Tb5 Tb 0.405 0.904 0.750 1
Tb6 Tb 0.595 0.096 0.250 1
Tb7 Tb 0.724 0.724 0.042 1
Tb8 Tb 0.756 0.244 0.000 1
Tb9 Tb 0.780 0.780 0.776 1
Tb10 Tb 0.904 0.405 0.750 1
Pr1 Pr 0.000 0.000 0.500 1
Pr2 Pr 0.007 0.007 0.811 1
Pr3 Pr 0.478 0.478 0.641 1
Pr4 Pr 0.500 0.500 0.000 1
Pr5 Pr 0.522 0.522 0.359 1
Pr6 Pr 0.993 0.993 0.189 1
Sm1 Sm 0.254 0.254 0.595 1
Sm2 Sm 0.746 0.746 0.405 1
```



12.
Compound: Tb5PrSm2
Source: Alexandria via LeMat-Bulk
Functional: PBE-GGA
Structure: relaxed

Computed properties:
The size of the total moment is 0.0 μB per formula unit. The calculation puts the calculated total energy at -4.66 eV per atom. Its density of states at the Fermi level is 1.36 states/eV per atom. The calculated volume is 526.6 Å³/cell. Its space group is Pbam.

```
data_Tb5PrSm2
_chemical_formula_sum 'Tb10 Pr2 Sm4'
_cell_length_a 7.200
_cell_length_b 14.404
_cell_length_c 5.077
_cell_angle_alpha 90.00
_cell_angle_beta 90.00
_cell_angle_gamma 90.00
_space_group_name_H-M_alt 'P 1'
_space_group_IT_number 1
loop_
_space_group_symop_operation_xyz
'x,y,z'
loop_
_atom_site_label
_atom_site_type_symbol
_atom_site_fract_x
_atom_site_fract_y
_atom_site_fract_z
_atom_site_occupancy
Tb1 Tb 0.000 0.000 0.000 1
Tb2 Tb 0.001 0.249 0.000 1
Tb3 Tb 0.250 0.126 0.500 1
Tb4 Tb 0.250 0.626 0.500 1
Tb5 Tb 0.499 0.749 0.000 1
Tb6 Tb 0.500 0.500 0.000 1
Tb7 Tb 0.501 0.251 0.000 1
Tb8 Tb 0.750 0.374 0.500 1
Tb9 Tb 0.750 0.874 0.500 1
Tb10 Tb 0.999 0.751 0.000 1
Pr1 Pr 0.000 0.500 0.000 1
Pr2 Pr 0.500 0.000 0.000 1
Sm1 Sm 0.249 0.874 0.500 1
Sm2 Sm 0.251 0.374 0.500 1
Sm3 Sm 0.749 0.626 0.500 1
Sm4 Sm 0.751 0.126 0.500 1
```